[1]
# Dy2CoNiB2N2

An optimized crystal structure of Dy2CoNiB2N2 (PBE, the Open Quantum Materials Database).

The uncorrected energy is -7.590 eV/atom.

The structure belongs to space group P-4m2 (No. 115); the cell edges are 3.485, 3.485 and 7.446 Å and the angles 90.00°, 90.00° and 90.00°. The asymmetric unit holds Dy at (0.000, 0.500, 0.168), Co at (0.500, 0.500, 0.500), Ni at (0.000, 0.000, 0.500), B at (0.000, 0.500, 0.654) and N at (0.000, 0.500, 0.853).


[2]
# Pr2DyCo2B2N3

An optimized crystal structure of Pr2DyCo2B2N3 (PBE, the Open Quantum Materials Database).

The uncorrected energy is -7.726 eV/atom.

The structure belongs to space group I4/mmm (No. 139); the cell edges are 3.621, 3.621 and 19.744 Å and the angles 90.00°, 90.00° and 90.00°. The asymmetric unit holds Pr at (0.000, 0.000, 0.127), Dy at (0.000, 0.000, 0.500), Co at (0.000, 0.500, 0.250), B at (0.000, 0.000, 0.304), N at (0.000, 0.000, 0.000) and N at (0.000, 0.000, 0.380).


[3]
# Sm2DyCo2B2N3

An optimized crystal structure of Sm2DyCo2B2N3 (PBE, the Open Quantum Materials Database).

The uncorrected energy is -7.801 eV/atom.

The structure belongs to space group I4/mmm (No. 139); the cell edges are 3.535, 3.535 and 19.807 Å and the angles 90.00°, 90.00° and 90.00°. The asymmetric unit holds Sm at (0.000, 0.000, 0.126), Dy at (0.000, 0.000, 0.500), Co at (0.000, 0.500, 0.250), B at (0.000, 0.000, 0.305), N at (0.000, 0.000, 0.000) and N at (0.000, 0.000, 0.381).


[4]
# SmDy2Co2B2N3

An optimized crystal structure of SmDy2Co2B2N3 (PBE, the Open Quantum Materials Database).

The uncorrected energy is -7.817 eV/atom.

The structure belongs to space group I4/mmm (No. 139); the cell edges are 3.496, 3.496 and 20.024 Å and the angles 90.00°, 90.00° and 90.00°. The asymmetric unit holds Sm at (0.000, 0.000, 0.000), Dy at (0.000, 0.000, 0.374), Co at (0.000, 0.500, 0.250), B at (0.000, 0.000, 0.195), N at (0.000, 0.000, 0.120) and N at (0.000, 0.000, 0.500).


[5]
# Tb2DyCo2B2N3

An optimized crystal structure of Tb2DyCo2B2N3 (PBE, the Open Quantum Materials Database).

The uncorrected energy is -7.851 eV/atom.

The structure belongs to space group I4/mmm (No. 139); the cell edges are 3.479, 3.479 and 19.887 Å and the angles 90.00°, 90.00° and 90.00°. The asymmetric unit holds Tb at (0.000, 0.000, 0.124), Dy at (0.000, 0.000, 0.500), Co at (0.000, 0.500, 0.250), B at (0.000, 0.000, 0.306), N at (0.000, 0.000, 0.000) and N at (0.000, 0.000, 0.382).


[6]
# TbDy2Co2B2N3

An optimized crystal structure of TbDy2Co2B2N3 (PBE, the Open Quantum Materials Database).

The uncorrected energy is -7.852 eV/atom.

The structure belongs to space group I4/mmm (No. 139); the cell edges are 3.474, 3.474 and 19.887 Å and the angles 90.00°, 90.00° and 90.00°. The asymmetric unit holds Tb at (0.000, 0.000, 0.000), Dy at (0.000, 0.000, 0.376), Co at (0.000, 0.500, 0.250), B at (0.000, 0.000, 0.194), N at (0.000, 0.000, 0.118) and N at (0.000, 0.000, 0.500).


[7]
# Dy2TmCo2B2N3

An optimized crystal structure of Dy2TmCo2B2N3 (PBE, the Open Quantum Materials Database).

The uncorrected energy is -7.866 eV/atom.

The structure belongs to space group I4/mmm (No. 139); the cell edges are 3.453, 3.453 and 19.754 Å and the angles 90.00°, 90.00° and 90.00°. The asymmetric unit holds Dy at (0.000, 0.000, 0.123), Tm at (0.000, 0.000, 0.500), Co at (0.000, 0.500, 0.250), B at (0.000, 0.000, 0.307), N at (0.000, 0.000, 0.000) and N at (0.000, 0.000, 0.384).


[8]
# Dy2YCo2B2N3

An optimized crystal structure of Dy2YCo2B2N3 (PBE, the Open Quantum Materials Database).

The uncorrected energy is -8.039 eV/atom.

The structure belongs to space group I4/mmm (No. 139); the cell edges are 3.470, 3.470 and 19.870 Å and the angles 90.00°, 90.00° and 90.00°. The asymmetric unit holds Dy at (0.000, 0.000, 0.124), Y at (0.000, 0.000, 0.500), Co at (0.000, 0.500, 0.250), B at (0.000, 0.000, 0.306), N at (0.000, 0.000, 0.000) and N at (0.000, 0.000, 0.382).